[1]
Density functional theory data (PBE) for a relaxed structure of Nd2Sm3DyBi6.

DFT total energy in eV/atom: -5.22
Calculated formation energy in eV per atom: -0.920

a = 19.879 Å, b = 4.563 Å, c = 9.124 Å
α = 90.00°, β = 103.24°, γ = 90.00°
Space group C2/m (No. 12)
Symmetry-distinct sites (fractional):
Nd: 0.166 0.000 0.333
Sm: 0.000 0.500 0.500
Sm: 0.168 0.000 0.834
Dy: 0.000 0.500 0.000
Bi: 0.001 0.000 0.755
Bi: 0.165 0.500 0.080
Bi: 0.166 0.500 0.585


[2]
Density functional theory data (PBE) for a relaxed structure of NdSm2DyBi5.

DFT total energy in eV/atom: -4.21
Calculated formation energy in eV per atom: 0.040

a = 5.563 Å, b = 5.563 Å, c = 11.947 Å
α = 90.00°, β = 90.00°, γ = 90.00°
Space group P4/mmm (No. 123)
Symmetry-distinct sites (fractional):
Nd: 0.000 0.000 0.000
Sm: 0.500 0.500 0.227
Dy: 0.000 0.000 0.500
Bi: 0.000 0.000 0.257
Bi: 0.000 0.500 0.000
Bi: 0.500 0.500 0.500


[3]
Density functional theory data (PBE) for a relaxed structure of NdSm2DyBi4.

DFT total energy in eV/atom: -5.20
Calculated formation energy in eV per atom: -0.912

a = 7.882 Å, b = 4.554 Å, c = 7.883 Å
α = 90.00°, β = 109.48°, γ = 90.00°
Space group P2/m (No. 10)
Symmetry-distinct sites (fractional):
Nd: 0.000 0.000 0.000
Sm: 0.000 0.500 0.500
Sm: 0.500 0.000 0.500
Dy: 0.500 0.500 0.000
Bi: 0.254 0.500 0.250
Bi: 0.255 0.000 0.753


[4]
Density functional theory data (PBE) for a relaxed structure of NdSm2Dy3Bi6.

DFT total energy in eV/atom: -5.17
Calculated formation energy in eV per atom: -0.895

a = 19.718 Å, b = 4.527 Å, c = 9.049 Å
α = 90.00°, β = 103.17°, γ = 90.00°
Space group C2/m (No. 12)
Symmetry-distinct sites (fractional):
Nd: 0.000 0.000 0.000
Sm: 0.167 0.500 0.333
Dy: 0.000 0.000 0.500
Dy: 0.166 0.500 0.833
Bi: 0.001 0.500 0.744
Bi: 0.165 0.000 0.586
Bi: 0.169 0.000 0.080


[5]
Density functional theory data (PBE) for a relaxed structure of TbNdDy2Bi4.

DFT total energy in eV/atom: -5.15
Calculated formation energy in eV per atom: -0.883

a = 7.817 Å, b = 4.517 Å, c = 7.819 Å
α = 90.00°, β = 109.48°, γ = 90.00°
Space group P2/m (No. 10)
Symmetry-distinct sites (fractional):
Tb: 0.000 0.000 0.000
Nd: 0.000 0.500 0.500
Dy: 0.500 0.000 0.500
Dy: 0.500 0.500 0.000
Bi: 0.254 0.500 0.248
Bi: 0.256 0.000 0.756


[6]
Density functional theory data (PBE) for a relaxed structure of NdDyBiTe.

DFT total energy in eV/atom: -5.24
E_form (uncorrected) in meV/atom: -1146.8

a = 4.4927 Å, b = 4.4927 Å, c = 21.9411 Å
α = 90.00°, β = 90.00°, γ = 120.00°
Space group R3m (No. 160, hexagonal axes)
Symmetry-distinct sites (fractional):
Nd: 0.0000 0.0000 0.0000
Dy: 0.0000 0.0000 0.4993
Bi: 0.0000 0.0000 0.7529
Te: 0.0000 0.0000 0.2460


[7]
Density functional theory data (PBE) for a relaxed structure of NdDyTh2Bi5.

DFT total energy in eV/atom: -4.68
Calculated formation energy in eV per atom: 0.165

a = 5.540 Å, b = 5.540 Å, c = 11.779 Å
α = 90.00°, β = 90.00°, γ = 90.00°
Space group P4/mmm (No. 123)
Symmetry-distinct sites (fractional):
Nd: 0.000 0.000 0.000
Dy: 0.000 0.000 0.500
Th: 0.500 0.500 0.199
Bi: 0.000 0.000 0.255
Bi: 0.000 0.500 0.000
Bi: 0.500 0.500 0.500


[8]
Density functional theory data (PBE) for a relaxed structure of NdDy2ThBi4.

DFT total energy in eV/atom: -5.43
Calculated formation energy in eV per atom: -0.820

a = 7.843 Å, b = 4.548 Å, c = 7.867 Å
α = 90.00°, β = 109.49°, γ = 90.00°
Space group P2/m (No. 10)
Symmetry-distinct sites (fractional):
Nd: 0.000 0.000 0.000
Dy: 0.500 0.000 0.500
Dy: 0.500 0.500 0.000
Th: 0.000 0.500 0.500
Bi: 0.258 0.500 0.253
Bi: 0.259 0.000 0.753